This record from Alexandria via LeMat-Bulk describes BaCu3Ge2 after structural relaxation. The functional is PBE.

As for the total magnetization: 0.0 μB/cell. As for the density of states at the Fermi level: 0.492 states/eV per atom. For the formation energy, the calculation gives -0.23 eV/atom. As for the total energy: -4.142 eV per atom.

The space group is C2/m (No. 12) and the conventional cell measures 16.1476, 4.2114 and 7.4659 Å, with angles of 90.00, 112.94 and 90.00 degrees. The distinct sites, in fractional coordinates, are Ba at (0.1540, 0.0000, 0.0748), Cu at (0.0227, 0.0000, 0.3610), Cu at (0.0835, 0.5000, 0.6313), Cu at (0.1909, 0.5000, 0.4578), Ge at (0.0263, 0.5000, 0.2044) and Ge at (0.1758, 0.0000, 0.6338).

=====

This record from Alexandria via LeMat-Bulk describes Hf3SnSb after structural relaxation. The functional is PBE.

As for the total magnetization: 0.0 μB/cell. The calculation puts the formation energy without anion corrections at -0.269 eV per atom. As for the density of states at the Fermi level: 0.635 states/eV per atom. For the relative energy among the computed polymorphs, the calculation gives 0 meV per atom. As for the total energy: -7.866 eV per atom.

The space group is Cmce (No. 64) and the conventional cell measures 9.4387, 16.2388 and 6.1416 Å, with angles of 90.00, 90.00 and 90.00 degrees. The distinct sites, in fractional coordinates, are Hf at (0.0000, 0.2443, 0.0003), Hf at (0.2284, 0.0000, 0.0000), Hf at (0.2500, 0.1715, 0.2500), Sn at (0.0000, 0.0662, 0.2897) and Sb at (0.2500, 0.1534, 0.7500).